No. 1
First-principles (PBE) data for a geometry-optimized ScTeCl structure, as listed in the Alexandria database.

Values from the calculation:
For the total energy, the calculation gives -5.211 eV/atom. Its symmetry is P1 (1). As for the energy relative to the elements, uncorrected: -416 kJ/mol of formula units. The crystal system is triclinic. The value obtained for the density is 3.660 g/cm3. The calculation puts the total magnetization at 0.0 μB per formula unit.

Geometry as extended XYZ:
```
6
Lattice="-4.753 1.867 2.328 -6.694 -3.404 2.598 1.020 2.936 6.458" Properties=species:S:1:pos:R:3 pbc="T T T"
Te -10.071 -1.471 5.293
Te -4.658 2.483 6.617
Cl -8.242 0.958 7.400
Cl -7.028 0.369 3.503
Sc -2.189 2.024 5.229
Sc -4.836 -0.538 2.829
```

---

No. 2
First-principles (PBE) data for a geometry-optimized ScTeCl structure, as listed in the Alexandria database.

Values from the calculation:
For the total energy, the calculation gives -5.317 eV/atom. Its symmetry is Cm (8). As for the energy relative to the elements, uncorrected: -447 kJ/mol of formula units. The crystal system is monoclinic. The value obtained for the density is 3.736 g/cm3. The calculation puts the total magnetization at 0.0 μB per formula unit.

Geometry as extended XYZ:
```
6
Lattice="3.936 0.000 0.000 -1.968 3.409 -0.012 0.000 0.018 13.781" Properties=species:S:1:pos:R:3 pbc="T T T"
Te 0.000 2.838 4.435
Te 0.000 0.544 8.283
Sc 1.968 1.695 2.751
Sc 0.000 2.823 9.963
Cl 1.968 1.694 11.443
Cl 0.000 0.555 1.278
```

---

No. 3
First-principles (PBE) data for a geometry-optimized Sc2TeCl structure, as listed in the Alexandria database.

Values from the calculation:
For the total energy, the calculation gives -5.235 eV/atom. For the distance to the lowest polymorph of the same formula, the calculation gives 0.319 eV/atom. Its symmetry is C2/m (12). As for the energy relative to the elements, uncorrected: -317 kJ/mol of formula units. The crystal system is monoclinic. The value obtained for the density is 4.328 g/cm3. The calculation puts the total magnetization at 0.0 μB per formula unit.

Geometry as extended XYZ:
```
4
Lattice="5.526 0.005 0.000 -0.840 5.462 0.000 1.129 1.317 3.215" Properties=species:S:1:pos:R:3 pbc="T T T"
Sc 2.343 2.733 0.000
Sc 0.000 0.000 0.000
Cl 0.144 3.390 1.608
Te 3.328 0.661 1.608
```

---

No. 4
First-principles (PBE) data for a geometry-optimized Sc2TeCl structure, as listed in the Alexandria database.

Values from the calculation:
For the total energy, the calculation gives -5.351 eV/atom. For the distance to the lowest polymorph of the same formula, the calculation gives 0.203 eV/atom. Its symmetry is R3m (160). As for the energy relative to the elements, uncorrected: -362 kJ/mol of formula units. The crystal system is trigonal. The value obtained for the density is 3.765 g/cm3. The calculation puts the total magnetization at 1.7 μB per formula unit.

Geometry as extended XYZ:
```
4
Lattice="-9.727 -1.740 3.580 -7.865 -3.377 6.099 -8.418 0.109 6.293" Properties=species:S:1:pos:R:3 pbc="T T T"
Sc -6.599 -1.271 4.052
Sc -0.109 -0.021 0.067
Cl -18.806 -3.622 11.548
Te -13.502 -2.600 8.291
```